[1]
# LiHoZr2S4

Crystalline LiHoZr2S4 at its relaxed geometry (PBE-GGA, Alexandria).

Results
space-group type = P2/m, No. 10
E_form (uncorrected) = -1.63 eV/atom
Fermi-level density of states = 3.6 states/eV/f.u.

Unit cell a=3.6874 b=6.3451 c=6.6835 alpha=108.19 beta=90.00 gamma=90.00
Positions (direct):
S1 0.5000 0.7386 0.7494
S2 0.0000 0.7427 0.2495
Zr1 0.5000 0.0000 0.5000
S3 0.5000 0.2614 0.2506
S4 0.0000 0.2573 0.7505
Li1 0.5000 0.5000 0.0000
Zr2 0.0000 0.5000 0.5000
Ho1 0.0000 0.0000 0.0000

[2]
# Li3Ho2ZrS6

Crystalline Li3Ho2ZrS6 at its relaxed geometry (PBE-GGA, Alexandria).

Results
space-group type = C2/m, No. 12
E_form (uncorrected) = -1.72 eV/atom
Fermi-level density of states = 3.8 states/eV/f.u.

Unit cell a=6.5807 b=6.5807 c=6.5638 alpha=99.64 beta=99.64 gamma=119.98
Positions (direct):
S1 0.9156 0.5934 0.7480
Ho1 0.6671 0.3329 0.0000
S2 0.7608 0.7608 0.2496
S3 0.0844 0.4066 0.2520
S4 0.4066 0.0844 0.2520
Zr1 0.0000 0.0000 0.0000
S5 0.2392 0.2392 0.7504
S6 0.5934 0.9156 0.7480
Li1 0.8358 0.1642 0.5000
Li2 0.1642 0.8358 0.5000
Li3 0.5000 0.5000 0.5000
Ho2 0.3329 0.6671 0.0000